Pm5Nd4Er4: relaxed, PBE.

POSCAR file:
```
Pm5Nd4Er4
1.0
-6.531 6.531 2.549
6.531 -6.531 2.549
6.531 6.531 -2.549
Pm Nd Er
5 4 4
Cartesian
0.000 0.000 0.000
7.055 4.032 0.000
4.032 6.006 0.000
2.498 0.525 2.549
-0.525 2.498 2.549
4.997 1.009 0.000
5.522 -1.534 2.549
1.009 8.064 0.000
1.534 5.522 2.549
10.039 2.016 0.000
2.016 3.022 0.000
4.514 3.509 2.549
-3.509 4.514 2.549
```

Values from the calculation:
calculated density = 7.5 g/cm³
magnetic moment = 0.0 μB per formula unit
formation energy from the elements = 0.02 eV per atom